SrZn3Ir | PBE | relaxed Values from VASP.

Results
Volume (Å³/atom): 25.68
Total magnetization (μB/cell): 0.0
Offset from the most stable computed form (meV/atom): 539
Crystal system: orthorhombic
DFT formation energy (eV per atom): 0.20

Quantum ESPRESSO input file:
```
&SYSTEM
  ibrav = 0, nat = 5, ntyp = 3
/
ATOMIC_SPECIES
Sr 87.62 Sr.upf
Zn 65.41 Zn.upf
Ir 192.22 Ir.upf
ATOMIC_POSITIONS angstrom
Sr 0.000 0.000 0.000
Zn 0.000 -1.262 9.772
Zn 0.000 1.262 9.772
Zn 1.891 0.000 11.131
Ir 1.891 0.000 8.537
CELL_PARAMETERS angstrom
3.781 0.000 0.000
0.000 2.457 6.911
0.000 -2.457 6.911
```